No. 1
Crystalline Pa2Be16Fe at its relaxed geometry. Source: Alexandria via LeMat-Bulk, functional PBE.

DFT total energy ... -4.69 eV per atom
DOS at the Fermi energy ... 9.58 states/eV per cell
Total magnetization ... 0.000 Bohr magnetons per cell

Unit cell a=5.847 b=5.847 c=5.847 alpha=84.17 beta=84.17 gamma=84.17
Positions (direct):
Pa  0.000  0.000  0.000
Pa  0.317  0.317  0.317
Be  0.148  0.652  0.652
Be  0.315  0.315  0.807
Be  0.315  0.807  0.315
Be  0.376  0.649  0.918
Be  0.376  0.918  0.649
Be  0.501  0.989  0.989
Be  0.649  0.376  0.918
Be  0.649  0.918  0.376
Be  0.652  0.148  0.652
Be  0.652  0.652  0.148
Be  0.746  0.746  0.746
Be  0.807  0.315  0.315
Be  0.918  0.376  0.649
Be  0.918  0.649  0.376
Be  0.989  0.501  0.989
Be  0.989  0.989  0.501
Fe  0.537  0.537  0.537


No. 2
Crystalline PaBeFe at its relaxed geometry. Source: Alexandria via LeMat-Bulk, functional PBE.

DFT total energy ... -7.37 eV per atom
DOS at the Fermi energy ... 8.44 states/eV per cell
Total magnetization ... 0.000 Bohr magnetons per cell

Unit cell a=3.390 b=13.735 c=3.738 alpha=90.00 beta=90.00 gamma=90.00
Positions (direct):
Pa  0.000  0.086  0.250
Pa  0.000  0.914  0.750
Pa  0.500  0.414  0.750
Pa  0.500  0.586  0.250
Be  0.000  0.248  0.750
Be  0.000  0.752  0.250
Be  0.500  0.252  0.250
Be  0.500  0.748  0.750
Fe  0.000  0.371  0.250
Fe  0.000  0.629  0.750
Fe  0.500  0.129  0.750
Fe  0.500  0.871  0.250


No. 3
Crystalline Pa2BeFe at its relaxed geometry. Source: Alexandria via LeMat-Bulk, functional PBE.

DFT total energy ... -7.31 eV per atom
DOS at the Fermi energy ... 12.84 states/eV per cell
Total magnetization ... 2.402 Bohr magnetons per cell

Unit cell a=3.047 b=3.047 c=27.800 alpha=90.00 beta=90.00 gamma=120.00
Positions (direct):
Pa  0.000  0.000  0.085
Pa  0.000  0.000  0.915
Pa  0.333  0.667  0.582
Pa  0.333  0.667  0.752
Pa  0.667  0.333  0.248
Pa  0.667  0.333  0.418
Be  0.000  0.000  0.500
Be  0.333  0.667  0.167
Be  0.667  0.333  0.833
Fe  0.000  0.000  0.000
Fe  0.333  0.667  0.667
Fe  0.667  0.333  0.333


No. 4
Crystalline PaBeFe at its relaxed geometry. Source: Alexandria via LeMat-Bulk, functional PBE.

DFT total energy ... -7.27 eV per atom
DOS at the Fermi energy ... 4.66 states/eV per cell
Total magnetization ... 0.000 Bohr magnetons per cell

Unit cell a=3.900 b=3.900 c=3.525 alpha=90.00 beta=90.00 gamma=120.00
Positions (direct):
Pa  0.000  0.000  0.000
Be  0.667  0.333  0.500
Fe  0.333  0.667  0.500


No. 5
Crystalline PaBeFe at its relaxed geometry. Source: Alexandria via LeMat-Bulk, functional PBE.

DFT total energy ... -6.88 eV per atom
DOS at the Fermi energy ... 6.51 states/eV per cell
Total magnetization ... 0.000 Bohr magnetons per cell

Unit cell a=3.551 b=3.551 c=8.169 alpha=90.00 beta=90.00 gamma=90.00
Positions (direct):
Pa  0.000  0.000  0.000
Pa  0.500  0.500  0.500
Be  0.000  0.000  0.327
Be  0.500  0.500  0.827
Fe  0.000  0.000  0.589
Fe  0.500  0.500  0.089


No. 6
Crystalline Pa2Be12Fe5 at its relaxed geometry. Source: Alexandria via LeMat-Bulk, functional PBE.

DFT total energy ... -5.71 eV per atom
DOS at the Fermi energy ... 14.79 states/eV per cell
Total magnetization ... 5.505 Bohr magnetons per cell

Unit cell a=5.966 b=5.966 c=5.966 alpha=83.79 beta=83.79 gamma=83.79
Positions (direct):
Pa  0.171  0.171  0.171
Pa  0.829  0.829  0.829
Be  0.160  0.160  0.661
Be  0.160  0.661  0.160
Be  0.226  0.500  0.774
Be  0.226  0.774  0.500
Be  0.339  0.840  0.840
Be  0.500  0.226  0.774
Be  0.500  0.774  0.226
Be  0.661  0.160  0.160
Be  0.774  0.226  0.500
Be  0.774  0.500  0.226
Be  0.840  0.339  0.840
Be  0.840  0.840  0.339
Fe  0.000  0.500  0.500
Fe  0.398  0.398  0.398
Fe  0.500  0.000  0.500
Fe  0.500  0.500  0.000
Fe  0.602  0.602  0.602


No. 7
Crystalline PaBeFe at its relaxed geometry. Source: Alexandria via LeMat-Bulk, functional PBE.

DFT total energy ... -7.43 eV per atom
DOS at the Fermi energy ... 11.83 states/eV per cell
Total magnetization ... 0.001 Bohr magnetons per cell

Unit cell a=4.270 b=5.377 c=7.381 alpha=90.00 beta=90.00 gamma=90.00
Positions (direct):
Pa  0.000  0.250  0.122
Pa  0.000  0.750  0.878
Pa  0.500  0.250  0.378
Pa  0.500  0.750  0.622
Be  0.250  0.250  0.750
Be  0.250  0.750  0.250
Be  0.750  0.250  0.750
Be  0.750  0.750  0.250
Fe  0.000  0.000  0.500
Fe  0.000  0.500  0.500
Fe  0.500  0.000  0.000
Fe  0.500  0.500  0.000


No. 8
Crystalline PaBe2Fe at its relaxed geometry. Source: Alexandria via LeMat-Bulk, functional PBE.

DFT total energy ... -6.33 eV per atom
DOS at the Fermi energy ... 9.18 states/eV per cell
Total magnetization ... 0.000 Bohr magnetons per cell

Unit cell a=3.701 b=3.701 c=13.989 alpha=90.00 beta=90.00 gamma=120.00
Positions (direct):
Pa  0.000  0.000  0.000
Pa  0.333  0.667  0.667
Pa  0.667  0.333  0.333
Be  0.000  0.000  0.198
Be  0.000  0.000  0.802
Be  0.333  0.667  0.468
Be  0.333  0.667  0.865
Be  0.667  0.333  0.135
Be  0.667  0.333  0.532
Fe  0.000  0.000  0.500
Fe  0.333  0.667  0.167
Fe  0.667  0.333  0.833